CeDyCu2: relaxed, GGA-PBE.

Geometry as CIF:
```
data_CeDyCu2
_chemical_formula_sum 'Ce1 Dy1 Cu2'
_space_group_name_H-M_alt 'P 4/m m m'
_space_group_IT_number 123
_space_group_name_Hall '-P 4 2'
_cell_length_a 4.995
_cell_length_b 4.995
_cell_length_c 3.429
_cell_angle_alpha 90.00
_cell_angle_beta 90.00
_cell_angle_gamma 90.00
loop_
_atom_site_label
_atom_site_type_symbol
_atom_site_fract_x
_atom_site_fract_y
_atom_site_fract_z
Ce1 Ce 0.000 0.000 0.000
Dy1 Dy 0.500 0.500 0.000
Cu1 Cu 0.000 0.500 0.500
```

Calculated values
Energy of formation (eV per atom): -0.126
Polymorph energy (0 for the lowest one) (eV/f.u.): 0.03

=====

PaAlGe2: relaxed, GGA-PBE.

Geometry as CIF:
```
data_PaAlGe2
_chemical_formula_sum 'Pa1 Al1 Ge2'
_space_group_name_H-M_alt 'P 4/m m m'
_space_group_IT_number 123
_space_group_name_Hall '-P 4 2'
_cell_length_a 4.379
_cell_length_b 4.379
_cell_length_c 4.074
_cell_angle_alpha 90.00
_cell_angle_beta 90.00
_cell_angle_gamma 90.00
loop_
_atom_site_label
_atom_site_type_symbol
_atom_site_fract_x
_atom_site_fract_y
_atom_site_fract_z
Pa1 Pa 0.000 0.000 0.000
Al1 Al 0.500 0.500 0.000
Ge1 Ge 0.000 0.500 0.500
```

Calculated values
Energy of formation (eV per atom): -0.439
Polymorph energy (0 for the lowest one) (eV/f.u.): 0.00

=====

NiPPt: relaxed, GGA-PBE.

Geometry as CIF:
```
data_NiPPt
_chemical_formula_sum 'Ni1 P1 Pt1'
_space_group_name_H-M_alt 'P 3 m 1'
_space_group_IT_number 156
_cell_length_a 2.9096
_cell_length_b 2.9096
_cell_length_c 5.5117
_cell_angle_alpha 90.00
_cell_angle_beta 90.00
_cell_angle_gamma 120.00
loop_
_space_group_symop_operation_xyz
'x,y,z'
'-y,x-y,z'
'-x+y,-x,z'
'-y,-x,z'
'-x+y,y,z'
'x,x-y,z'
loop_
_atom_site_label
_atom_site_type_symbol
_atom_site_fract_x
_atom_site_fract_y
_atom_site_fract_z
Ni1 Ni 0.0000 0.0000 0.0000
P1 P 0.6667 0.3333 0.2684
Pt1 Pt 0.3333 0.6667 0.6068
```

Calculated values
Energy of formation (eV per atom): -0.145

=====

Th4Tl2C: relaxed, GGA-PBE.

Geometry as CIF:
```
data_Th4Tl2C
_chemical_formula_sum 'Th8 Tl4 C2'
_space_group_name_H-M_alt 'P 1 21/m 1'
_space_group_IT_number 11
_cell_length_a 6.615
_cell_length_b 6.784
_cell_length_c 9.700
_cell_angle_alpha 90.00
_cell_angle_beta 109.88
_cell_angle_gamma 90.00
loop_
_space_group_symop_operation_xyz
'x,y,z'
'-x,-y,-z'
'-x,y+1/2,-z'
'x,-y+1/2,z'
loop_
_atom_site_label
_atom_site_type_symbol
_atom_site_fract_x
_atom_site_fract_y
_atom_site_fract_z
Th1 Th 0.044 0.014 0.295
Th2 Th 0.349 0.250 0.049
Th3 Th 0.430 0.250 0.660
Tl1 Tl 0.192 0.750 0.027
Tl2 Tl 0.347 0.750 0.600
C1 C 0.193 0.250 0.794
```

Calculated values
Energy of formation (eV per atom): -0.070

=====

AcLaSm4: relaxed, GGA-PBE.

Geometry as CIF:
```
data_AcLaSm4
_chemical_formula_sum 'Ac4 La4 Sm16'
_space_group_name_H-M_alt 'C m c m'
_space_group_IT_number 63
_space_group_name_Hall '-C 2c 2'
_cell_length_a 6.679
_cell_length_b 11.786
_cell_length_c 11.162
_cell_angle_alpha 90.00
_cell_angle_beta 90.00
_cell_angle_gamma 90.00
loop_
_atom_site_label
_atom_site_type_symbol
_atom_site_fract_x
_atom_site_fract_y
_atom_site_fract_z
Ac1 Ac 0.000 0.000 0.000
La1 La 0.000 0.184 0.250
Sm1 Sm 0.000 0.334 0.574
Sm2 Sm 0.239 0.418 0.250
```

Calculated values
Energy of formation (eV per atom): 0.253
Polymorph energy (0 for the lowest one) (eV/f.u.): 1.33

=====

La3SmEr2Se6: relaxed, GGA-PBE.

Geometry as CIF:
```
data_La3SmEr2Se6
_chemical_formula_sum 'La6 Sm2 Er4 Se12'
_space_group_name_H-M_alt 'C 1 2/m 1'
_space_group_IT_number 12
_cell_length_a 7.207
_cell_length_b 12.524
_cell_length_c 7.355
_cell_angle_alpha 90.00
_cell_angle_beta 109.15
_cell_angle_gamma 90.00
loop_
_space_group_symop_operation_xyz
'x,y,z'
'-x,-y,-z'
'-x,y,-z'
'x,-y,z'
'x+1/2,y+1/2,z'
'-x+1/2,-y+1/2,-z'
'-x+1/2,y+1/2,-z'
'x+1/2,-y+1/2,z'
loop_
_atom_site_label
_atom_site_type_symbol
_atom_site_fract_x
_atom_site_fract_y
_atom_site_fract_z
La1 La 0.000 0.000 0.000
La2 La 0.000 0.337 0.000
Sm1 Sm 0.000 0.500 0.500
Er1 Er 0.000 0.167 0.500
Se1 Se 0.235 0.000 0.729
Se2 Se 0.248 0.329 0.732
```

Calculated values
Formation energy without anion corrections (meV/atom): -1876

=====

Na2MgHg: relaxed, GGA-PBE.

Geometry as CIF:
```
data_Na2MgHg
_chemical_formula_sum 'Na8 Mg4 Hg4'
_space_group_name_H-M_alt 'C 1 m 1'
_space_group_IT_number 8
_cell_length_a 11.765
_cell_length_b 4.994
_cell_length_c 9.244
_cell_angle_alpha 90.00
_cell_angle_beta 124.03
_cell_angle_gamma 90.00
loop_
_space_group_symop_operation_xyz
'x,y,z'
'x,-y,z'
'x+1/2,y+1/2,z'
'x+1/2,-y+1/2,z'
loop_
_atom_site_label
_atom_site_type_symbol
_atom_site_fract_x
_atom_site_fract_y
_atom_site_fract_z
Na1 Na 0.000 0.000 0.000
Na2 Na 0.000 0.000 0.497
Na3 Na 0.121 0.500 0.339
Na4 Na 0.381 0.000 0.660
Mg1 Mg 0.230 0.500 0.076
Mg2 Mg 0.269 0.000 0.919
Hg1 Hg 0.186 0.500 0.723
Hg2 Hg 0.315 0.000 0.273
```

Calculated values
Energy of formation (eV per atom): -0.119

=====

BeAlCd2Ni: relaxed, GGA-PBE.

Geometry as CIF:
```
data_BeAlCd2Ni
_chemical_formula_sum 'Be1 Al1 Cd2 Ni1'
_space_group_name_H-M_alt 'P 4/m m m'
_space_group_IT_number 123
_space_group_name_Hall '-P 4 2'
_cell_length_a 4.966
_cell_length_b 4.966
_cell_length_c 4.062
_cell_angle_alpha 90.00
_cell_angle_beta 90.00
_cell_angle_gamma 90.00
loop_
_atom_site_label
_atom_site_type_symbol
_atom_site_fract_x
_atom_site_fract_y
_atom_site_fract_z
Be1 Be 0.000 0.000 0.000
Al1 Al 0.500 0.500 0.000
Cd1 Cd 0.000 0.500 0.500
Ni1 Ni 0.000 0.000 0.500
```

Calculated values
Energy of formation (eV per atom): 0.475

=====

Number 1: Fermi-level density of states 1.7143 states/eV per atom. Number 2: Fermi-level density of states 0.8550 states/eV per atom. Number 3: Fermi-level density of states 0.7716 states/eV per atom. Number 4: Fermi-level density of states 1.0787 states/eV per atom. Number 5: Fermi-level density of states 2.0569 states/eV per atom. Number 6: Fermi-level density of states 0.5277 states/eV per atom. Number 7: Fermi-level density of states 0.4287 states/eV per atom. Number 8: Fermi-level density of states 0.4380 states/eV per atom.